[1]
VASP calculation (PBE-GGA) on crystalline IrOs2W at its relaxed geometry.

Geometry as extended XYZ:
```
4
Lattice="-1.2825 4.5751 -0.2552 -1.7616 0.8850 -4.3307 -1.0093 -3.3897 3.1878" Properties=species:S:1:pos:R:3 pbc="T T T"
Ir -2.1465 0.1127 -1.7179
Os 0.0000 0.0000 0.0000
Os -1.5220 2.7300 -2.2929
W -1.9069 1.9577 0.3199
```

DFT total energy in eV/atom: -11.1153
Symmetry: Fmmm, No. 69
Energy above the lowest structure with this stoichiometry in kJ/mol of atoms: 7.4
Calculated volume in Å³/f.u.: 59.1
Total moment in μB per cell: 0.000
Energy of formation in meV per atom: -47

[2]
VASP calculation (PBE-GGA) on crystalline MgTl2Cr at its relaxed geometry.

Geometry as extended XYZ:
```
4
Lattice="3.5591 0.0000 0.0000 0.0000 3.5591 0.0000 0.0000 0.0000 7.2078" Properties=species:S:1:pos:R:3 pbc="T T T"
Cr 1.7795 1.7795 1.8020
Mg 1.7795 1.7795 5.4059
Tl 0.0000 0.0000 0.0743
Tl 0.0000 0.0000 3.5296
```

DFT total energy in eV/atom: -3.6709
Symmetry: P4/mmm, No. 123
Calculated volume in Å³/f.u.: 91.3
Total moment in μB per cell: 4.301
Energy of formation in meV per atom: 317

[3]
VASP calculation (PBE-GGA) on crystalline Er2AlGa4Pt3 at its relaxed geometry.

Geometry as extended XYZ:
```
10
Lattice="-1.5820 -2.7566 -2.4277 0.9478 -2.8601 2.6300 -10.2344 1.3409 5.1464" Properties=species:S:1:pos:R:3 pbc="T T T"
Er -3.3578 -1.0420 0.0769
Er -7.1936 -0.4255 5.1707
Al -5.4343 -2.1380 2.6743
Ga -0.3171 -2.8084 0.1011
Ga 0.0000 0.0000 0.0000
Ga -7.3590 -0.5178 2.0889
Ga -3.1924 -0.9497 3.1586
Pt -5.1172 0.6704 2.5732
Pt -9.5519 -0.2305 3.1916
Pt -0.9996 -1.2370 2.0559
```

DFT total energy in eV/atom: -5.1815
Symmetry: P-4m2, No. 115
Calculated volume in Å³/f.u.: 184.5
Total moment in μB per cell: 0.000
Energy of formation in meV per atom: -872

[4]
VASP calculation (PBE-GGA) on crystalline SmGa2Au6 at its relaxed geometry.

Geometry as extended XYZ:
```
9
Lattice="0.7616 -6.6987 -2.8381 3.5050 -2.5821 5.8783 -2.4947 -2.0016 1.7306" Properties=species:S:1:pos:R:3 pbc="T T T"
Sm -1.2474 -1.0008 0.8653
Ga 0.5408 -7.6128 3.4252
Ga 1.2311 -3.6697 1.3456
Au -1.2496 -4.3361 0.8167
Au 3.0215 -6.9464 3.9541
Au 2.2480 -8.1069 1.4968
Au 2.7583 -3.7026 3.5057
Au 1.5083 -5.5782 -0.4654
Au -0.4761 -3.1755 3.2741
```

DFT total energy in eV/atom: -3.7370
Symmetry: Immm, No. 71
Energy above the lowest structure with this stoichiometry in kJ/mol of atoms: 0.0
Calculated volume in Å³/f.u.: 182.6
Total moment in μB per cell: 0.000
Energy of formation in meV per atom: -355

[5]
VASP calculation (PBE-GGA) on crystalline SrCa3Pa2N6 at its relaxed geometry.

Geometry as extended XYZ:
```
12
Lattice="3.6128 0.0000 0.0000 0.0000 7.1355 0.3275 -1.8064 -1.9869 7.4529" Properties=species:S:1:pos:R:3 pbc="T T T"
Sr 1.8064 0.0000 0.0000
Ca 1.8064 3.5678 0.1637
Ca 1.8064 -0.1373 5.0168
Ca 0.0000 5.2859 2.7636
Pa 1.8064 3.4450 5.2178
Pa 0.0000 1.7036 2.5626
N 0.0000 4.9729 5.1624
N 1.8064 3.3163 2.8589
N 1.8064 0.1757 2.6180
N 0.0000 1.8655 0.4056
N 1.8064 3.2832 7.3748
N 0.0000 1.8323 4.9215
```

DFT total energy in eV/atom: -7.7420
Symmetry: C2/m, No. 12
Raw formation energy in eV per formula unit: -16.273
Calculated volume in Å³/f.u.: 194.5
Total moment in μB per cell: 0.000

[6]
VASP calculation (PBE-GGA) on crystalline La2SnPd at its relaxed geometry.

Geometry as extended XYZ:
```
4
Lattice="-1.5359 -3.2037 0.9202 0.0205 -1.0222 -3.5247 7.4254 -3.2748 0.9929" Properties=species:S:1:pos:R:3 pbc="T T T"
Sn 2.9550 -3.7503 -0.8058
Pd -0.7577 -2.1129 -1.3023
La 5.7469 -2.5345 0.7685
La 1.6784 -0.7402 0.2244
```

DFT total energy in eV/atom: -5.5001
Symmetry: P4/mmm, No. 123
Calculated volume in Å³/f.u.: 110.1
Total moment in μB per cell: 0.000
Energy of formation in meV per atom: -737